DFT (PBE+U) results for a geometry-optimized Mg3Co3As4O16 structure.

**Density of states at the Fermi level**: 0.000 states/eV/f.u.
**Symmetry**: No. 14
**Total energy**: -6.111 eV/atom
**Crystal system**: monoclinic

POSCAR file:
```
Mg3Co3As4O16
1.0
8.560 0.000 0.000
0.000 5.152 0.000
-5.939 0.000 14.991
Mg Co As O
6 6 8 32
Direct
0.000 0.000 0.000
0.000 0.500 0.500
0.323 0.049 0.291
0.323 0.451 0.791
0.677 0.549 0.209
0.677 0.951 0.709
0.196 0.003 0.871
0.196 0.497 0.371
0.500 0.000 0.500
0.500 0.500 0.000
0.804 0.503 0.629
0.804 0.997 0.129
0.036 0.017 0.647
0.036 0.483 0.147
0.413 0.503 0.602
0.413 0.997 0.102
0.587 0.003 0.898
0.587 0.497 0.398
0.964 0.517 0.853
0.964 0.983 0.353
0.016 0.686 0.627
0.016 0.814 0.127
0.092 0.181 0.573
0.092 0.319 0.073
0.159 0.612 0.849
0.159 0.888 0.349
0.187 0.102 0.750
0.187 0.398 0.250
0.244 0.572 0.508
0.244 0.928 0.008
0.397 0.595 0.699
0.397 0.905 0.199
0.426 0.207 0.908
0.426 0.293 0.408
0.500 0.197 0.606
0.500 0.303 0.106
0.500 0.697 0.894
0.500 0.803 0.394
0.574 0.707 0.592
0.574 0.793 0.092
0.603 0.095 0.801
0.603 0.405 0.301
0.756 0.072 0.992
0.756 0.428 0.492
0.813 0.602 0.750
0.813 0.898 0.250
0.841 0.112 0.651
0.841 0.388 0.151
0.908 0.681 0.927
0.908 0.819 0.427
0.984 0.186 0.873
0.984 0.314 0.373
```